1.
Here is a relaxed structure of Nd8Sm4Ho from Alexandria via LeMat-Bulk. Energies are from GGA-PBE.

Computed properties:
The value obtained for the formation energy is 0.41 eV/atom.

Lattice parameters (Å, degrees): 11.8543 11.8543 11.7435 90.00 90.00 120.00
Space group R-3m (No. 166, hexagonal axes)
Symmetry-distinct sites (fractional):
Nd 0.0000 0.0000 0.2425
Nd 0.0007 0.5004 0.6684
Sm 0.0000 0.0000 0.0000
Sm 0.0000 0.5000 0.0000
Ho 0.0000 0.0000 0.5000



2.
Here is a relaxed structure of Nd8Sm2Ho3 from Alexandria via LeMat-Bulk. Energies are from GGA-PBE.

Computed properties:
The value obtained for the formation energy is 0.20 eV/atom.

Lattice parameters (Å, degrees): 5.730 7.722 11.018 69.50 89.98 90.00
Space group P-1 (No. 2)
Symmetry-distinct sites (fractional):
Nd 0.000 0.101 0.209
Nd 0.000 0.309 0.791
Nd 0.499 0.630 0.739
Nd 0.499 0.828 0.343
Sm 0.001 0.260 0.480
Ho 0.000 0.500 0.000
Ho 0.500 0.215 0.000



3.
Here is a relaxed structure of Nd5Sm2Ho2 from Alexandria via LeMat-Bulk. Energies are from GGA-PBE.

Computed properties:
The energy relative to the lowest polymorph listed for this composition is 0.00 kcal/mol of atoms. The value obtained for the formation energy is 0.02 eV/atom.

Lattice parameters (Å, degrees): 11.512 5.143 10.895 90.00 108.52 90.00
Space group C2/m (No. 12)
Symmetry-distinct sites (fractional):
Nd 0.000 0.000 0.000
Nd 0.166 0.500 0.889
Nd 0.167 0.500 0.555
Sm 0.001 0.000 0.668
Ho 0.167 0.500 0.223



4.
Here is a relaxed structure of NdSm2Ho12 from Alexandria via LeMat-Bulk. Energies are from GGA-PBE.

Computed properties:
The value obtained for the formation energy is 0.11 eV/atom.

Lattice parameters (Å, degrees): 7.080 11.163 24.382 90.00 94.15 90.00
Space group C2/m (No. 12)
Symmetry-distinct sites (fractional):
Nd 0.250 0.000 0.000
Sm 0.067 0.000 0.273
Sm 0.067 0.500 0.273
Ho 0.018 0.250 0.075
Ho 0.112 0.250 0.445
Ho 0.143 0.000 0.572
Ho 0.143 0.500 0.572
Ho 0.168 0.250 0.668
Ho 0.201 0.250 0.798
Ho 0.217 0.000 0.862
Ho 0.217 0.500 0.863